# LaTb8Nd2 | Alexandria | PBE | relaxed
data_LaTb8Nd2
_chemical_formula_sum 'La1 Tb8 Nd2'
_space_group_name_H-M_alt 'P 1'
_space_group_IT_number 1
_space_group_name_Hall 'P 1'
_cell_length_a 5.5843
_cell_length_b 8.2302
_cell_length_c 9.4513
_cell_angle_alpha 115.81
_cell_angle_beta 107.18
_cell_angle_gamma 90.00
loop_
_atom_site_label
_atom_site_type_symbol
_atom_site_fract_x
_atom_site_fract_y
_atom_site_fract_z
_atom_site_occupancy
La1 La 0.5000 0.0000 0.0000 1
Tb1 Tb 0.3607 0.1551 0.7214 1
Tb2 Tb 0.0000 0.2948 0.0000 1
Tb3 Tb 0.3607 0.5663 0.7215 1
Tb4 Tb 0.6393 0.4337 0.2785 1
Tb5 Tb 0.0000 0.7052 0.0000 1
Tb6 Tb 0.8389 0.8389 0.6779 1
Tb7 Tb 0.6393 0.8449 0.2786 1
Tb8 Tb 0.1611 0.1611 0.3221 1
Nd1 Nd 0.8002 0.3003 0.6005 1
Nd2 Nd 0.1998 0.6997 0.3995 1
# * magnetic moment: 0.00 μB per cell
# * density of states at the Fermi level: 15.66 states/eV/cell
# * energy of formation: 1.27 eV per formula unit